# 1
This record from Alexandria via LeMat-Bulk describes NaRh after structural relaxation. The functional is PBE.

Geometry as CIF:
```
data_NaRh
_cell_length_a 6.143
_cell_length_b 7.160
_cell_length_c 7.300
_cell_angle_alpha 90.00
_cell_angle_beta 90.00
_cell_angle_gamma 90.00
_space_group_name_H-M_alt 'P 21 21 21'
_space_group_IT_number 19
_space_group_name_Hall 'P 2ac 2ab'
loop_
_atom_site_label
_atom_site_type_symbol
_atom_site_fract_x
_atom_site_fract_y
_atom_site_fract_z
Na1 Na 0.055 0.216 0.006
Na2 Na 0.169 0.541 0.202
Rh1 Rh 0.116 0.094 0.625
Rh2 Rh 0.152 0.848 0.858
```

Computed properties:
Size of the total moment ... 0.0 μB/cell
E_tot ... -65.3 eV per cell
V ... 321.1 Å³ per cell



# 2
This record from Alexandria via LeMat-Bulk describes NaRh after structural relaxation. The functional is PBE.

Geometry as CIF:
```
data_NaRh
_cell_length_a 5.272
_cell_length_b 7.939
_cell_length_c 14.582
_cell_angle_alpha 90.00
_cell_angle_beta 90.00
_cell_angle_gamma 90.00
_space_group_name_H-M_alt 'F d d d'
_space_group_IT_number 70
loop_
_space_group_symop_operation_xyz
'x,y,z'
'-x,-y,-z'
'-x+1/4,-y+1/4,z'
'x+1/4,y+1/4,-z'
'x,-y+1/4,-z+1/4'
'-x,y+1/4,z+1/4'
'-x+1/4,y,-z+1/4'
'x+1/4,-y,z+1/4'
'x,y+1/2,z+1/2'
'-x,-y+1/2,-z+1/2'
'-x+1/4,-y+3/4,z+1/2'
'x+1/4,y+3/4,-z+1/2'
'x,-y+3/4,-z+3/4'
'-x,y+3/4,z+3/4'
'-x+1/4,y+1/2,-z+3/4'
'x+1/4,-y+1/2,z+3/4'
'x+1/2,y,z+1/2'
'-x+1/2,-y,-z+1/2'
'-x+3/4,-y+1/4,z+1/2'
'x+3/4,y+1/4,-z+1/2'
'x+1/2,-y+1/4,-z+3/4'
'-x+1/2,y+1/4,z+3/4'
'-x+3/4,y,-z+3/4'
'x+3/4,-y,z+3/4'
'x+1/2,y+1/2,z'
'-x+1/2,-y+1/2,-z'
'-x+3/4,-y+3/4,z'
'x+3/4,y+3/4,-z'
'x+1/2,-y+3/4,-z+1/4'
'-x+1/2,y+3/4,z+1/4'
'-x+3/4,y+1/2,-z+1/4'
'x+3/4,-y+1/2,z+1/4'
loop_
_atom_site_label
_atom_site_type_symbol
_atom_site_fract_x
_atom_site_fract_y
_atom_site_fract_z
Na1 Na 0.125 0.285 0.125
Rh1 Rh 0.125 0.125 0.540
```

Computed properties:
Size of the total moment ... 6.8 μB/cell
E_tot ... -125.3 eV per cell
V ... 610.4 Å³ per cell